[1]
VASP calculation (PBE-GGA) on a relaxed CoSbPt crystal.

The uncorrected energy is -34.66 eV per cell.

The space group is P6_3/mmc (No. 194) and the conventional cell measures 4.3406, 4.3406 and 5.7520 Å, with angles of 90.00, 90.00 and 120.00 degrees. The asymmetric unit holds Co at (0.3333, 0.6667, 0.2500), Sb at (0.3333, 0.6667, 0.7500) and Pt at (0.0000, 0.0000, 0.0000).



[2]
VASP calculation (PBE-GGA) on a relaxed ScCo2Hg crystal.

For the energy relative to the elements, the calculation gives 0.123 eV per atom. The uncorrected energy is -81.38 eV per cell.

The space group is F-43m (No. 216) and the conventional cell measures 6.299, 6.299 and 6.299 Å, with angles of 90.00, 90.00 and 90.00 degrees. The asymmetric unit holds Sc at (0.000, 0.000, 0.000), Co at (0.000, 0.000, 0.500), Co at (0.250, 0.250, 0.750) and Hg at (0.250, 0.250, 0.250).



no.,theoretical density (g/cm³)
1,13.30
2,9.66